*a*
MgBi2N | PBE-GGA | relaxed

As for the density of states at the Fermi level: 10.982 states/eV/cell. For the magnetic moment, the calculation gives 0.00 μB/atom.

Structure (CIF):
```
data_MgBi2N
_chemical_formula_sum 'Mg4 Bi8 N4'
_cell_length_a 7.041
_cell_length_b 7.041
_cell_length_c 7.041
_cell_angle_alpha 90.00
_cell_angle_beta 90.00
_cell_angle_gamma 90.00
_symmetry_space_group_name_H-M 'F m -3 m'
_symmetry_Int_Tables_number 225
_symmetry_space_group_name_Hall '-F 4 2 3'
loop_
_atom_site_label
_atom_site_type_symbol
_atom_site_fract_x
_atom_site_fract_y
_atom_site_fract_z
_atom_site_occupancy
Mg1 Mg 0.000 0.000 0.000 1
Bi1 Bi 0.250 0.250 0.250 1
N1 N 0.000 0.000 0.500 1
```

---

*b*
MgBi2N | PBE-GGA | relaxed

As for the density of states at the Fermi level: 9.545 states/eV/cell. For the magnetic moment, the calculation gives 0.00 μB/atom.

Structure (CIF):
```
data_MgBi2N
_chemical_formula_sum 'Mg4 Bi8 N4'
_cell_length_a 7.685
_cell_length_b 7.685
_cell_length_c 6.592
_cell_angle_alpha 90.00
_cell_angle_beta 90.00
_cell_angle_gamma 90.00
_symmetry_space_group_name_H-M 'I -4 2 d'
_symmetry_Int_Tables_number 122
_symmetry_space_group_name_Hall 'I -4 2bw'
loop_
_atom_site_label
_atom_site_type_symbol
_atom_site_fract_x
_atom_site_fract_y
_atom_site_fract_z
_atom_site_occupancy
Mg1 Mg 0.000 0.000 0.000 1
Bi1 Bi 0.153 0.750 0.625 1
N1 N 0.000 0.000 0.500 1
```

---

Most stable to least stable, the ends of the list are *b* and *a*.

---

*a*
Mg2Bi2N | PBE-GGA | relaxed

As for the density of states at the Fermi level: 6.388 states/eV/cell. For the magnetic moment, the calculation gives 0.00 μB/atom.

Structure (CIF):
```
data_Mg2Bi2N
_chemical_formula_sum 'Mg4 Bi4 N2'
_cell_length_a 3.719
_cell_length_b 3.719
_cell_length_c 16.984
_cell_angle_alpha 90.00
_cell_angle_beta 90.00
_cell_angle_gamma 90.00
_symmetry_space_group_name_H-M 'I 4/m m m'
_symmetry_Int_Tables_number 139
_symmetry_space_group_name_Hall '-I 4 2'
loop_
_atom_site_label
_atom_site_type_symbol
_atom_site_fract_x
_atom_site_fract_y
_atom_site_fract_z
_atom_site_occupancy
Mg1 Mg 0.000 0.500 0.250 1
Bi1 Bi 0.000 0.000 0.086 1
N1 N 0.000 0.000 0.500 1
```

---

*b*
Mg2Bi2N | PBE-GGA | relaxed

As for the density of states at the Fermi level: 7.330 states/eV/cell. For the magnetic moment, the calculation gives 0.00 μB/atom.

Structure (CIF):
```
data_Mg2Bi2N
_chemical_formula_sum 'Mg4 Bi4 N2'
_cell_length_a 6.832
_cell_length_b 6.832
_cell_length_c 5.155
_cell_angle_alpha 90.00
_cell_angle_beta 90.00
_cell_angle_gamma 90.00
_symmetry_space_group_name_H-M 'P 4/m b m'
_symmetry_Int_Tables_number 127
_symmetry_space_group_name_Hall '-P 4 2ab'
loop_
_atom_site_label
_atom_site_type_symbol
_atom_site_fract_x
_atom_site_fract_y
_atom_site_fract_z
_atom_site_occupancy
Mg1 Mg 0.158 0.342 0.000 1
Bi1 Bi 0.179 0.679 0.500 1
N1 N 0.000 0.000 0.500 1
```

---

Most stable to least stable, the ends of the list are *b* and *a*.

---

*a*
MgBiTeN2 | PBE-GGA | relaxed

As for the density of states at the Fermi level: 2.496 states/eV/cell. For the magnetic moment, the calculation gives 0.63 μB/atom.

Structure (CIF):
```
data_MgBiTeN2
_chemical_formula_sum 'Mg1 Bi1 Te1 N2'
_cell_length_a 4.364
_cell_length_b 4.364
_cell_length_c 5.740
_cell_angle_alpha 90.00
_cell_angle_beta 90.00
_cell_angle_gamma 90.00
_symmetry_space_group_name_H-M 'P 4/m m m'
_symmetry_Int_Tables_number 123
_symmetry_space_group_name_Hall '-P 4 2'
loop_
_atom_site_label
_atom_site_type_symbol
_atom_site_fract_x
_atom_site_fract_y
_atom_site_fract_z
_atom_site_occupancy
Mg1 Mg 0.000 0.000 0.000 1
Bi1 Bi 0.500 0.500 0.500 1
Te1 Te 0.000 0.000 0.500 1
N1 N 0.000 0.500 0.000 1
```

---

*b*
MgBiTeN2 | PBE-GGA | relaxed

As for the density of states at the Fermi level: 3.752 states/eV/cell. For the magnetic moment, the calculation gives 0.32 μB/atom.

Structure (CIF):
```
data_MgBiTeN2
_chemical_formula_sum 'Mg1 Bi1 Te1 N2'
_cell_length_a 4.323
_cell_length_b 4.323
_cell_length_c 6.498
_cell_angle_alpha 90.00
_cell_angle_beta 90.00
_cell_angle_gamma 90.00
_symmetry_space_group_name_H-M 'P 4/m m m'
_symmetry_Int_Tables_number 123
_symmetry_space_group_name_Hall '-P 4 2'
loop_
_atom_site_label
_atom_site_type_symbol
_atom_site_fract_x
_atom_site_fract_y
_atom_site_fract_z
_atom_site_occupancy
Mg1 Mg 0.000 0.000 0.000 1
Bi1 Bi 0.500 0.500 0.500 1
Te1 Te 0.500 0.500 0.000 1
N1 N 0.000 0.500 0.500 1
```

---

Most stable to least stable, the ends of the list are *a* and *b*.

---

*a*
MgBiTe2N | PBE-GGA | relaxed

As for the density of states at the Fermi level: 2.456 states/eV/cell. For the magnetic moment, the calculation gives 0.38 μB/atom.

Structure (CIF):
```
data_MgBiTe2N
_chemical_formula_sum 'Mg1 Bi1 Te2 N1'
_cell_length_a 5.703
_cell_length_b 5.703
_cell_length_c 4.007
_cell_angle_alpha 90.00
_cell_angle_beta 90.00
_cell_angle_gamma 90.00
_symmetry_space_group_name_H-M 'P 4/m m m'
_symmetry_Int_Tables_number 123
_symmetry_space_group_name_Hall '-P 4 2'
loop_
_atom_site_label
_atom_site_type_symbol
_atom_site_fract_x
_atom_site_fract_y
_atom_site_fract_z
_atom_site_occupancy
Mg1 Mg 0.000 0.000 0.000 1
Bi1 Bi 0.500 0.500 0.500 1
Te1 Te 0.000 0.500 0.000 1
N1 N 0.000 0.000 0.500 1
```

---

*b*
MgBiTe2N | PBE-GGA | relaxed

As for the density of states at the Fermi level: 3.933 states/eV/cell. For the magnetic moment, the calculation gives 0.28 μB/atom.

Structure (CIF):
```
data_MgBiTe2N
_chemical_formula_sum 'Mg1 Bi1 Te2 N1'
_cell_length_a 5.963
_cell_length_b 5.963
_cell_length_c 4.359
_cell_angle_alpha 90.00
_cell_angle_beta 90.00
_cell_angle_gamma 90.00
_symmetry_space_group_name_H-M 'P 4/m m m'
_symmetry_Int_Tables_number 123
_symmetry_space_group_name_Hall '-P 4 2'
loop_
_atom_site_label
_atom_site_type_symbol
_atom_site_fract_x
_atom_site_fract_y
_atom_site_fract_z
_atom_site_occupancy
Mg1 Mg 0.000 0.000 0.000 1
Bi1 Bi 0.500 0.500 0.500 1
Te1 Te 0.000 0.500 0.500 1
N1 N 0.500 0.500 0.000 1
```

---

Most stable to least stable, the ends of the list are *a* and *b*.

---

*a*
Na2Mg2Bi | PBE-GGA | relaxed

As for the density of states at the Fermi level: 4.969 states/eV/cell. For the magnetic moment, the calculation gives 0.00 μB/atom.

Structure (CIF):
```
data_Na2Mg2Bi
_chemical_formula_sum 'Na4 Mg4 Bi2'
_cell_length_a 4.108
_cell_length_b 4.108
_cell_length_c 18.240
_cell_angle_alpha 90.00
_cell_angle_beta 90.00
_cell_angle_gamma 90.00
_symmetry_space_group_name_H-M 'I 4/m m m'
_symmetry_Int_Tables_number 139
_symmetry_space_group_name_Hall '-I 4 2'
loop_
_atom_site_label
_atom_site_type_symbol
_atom_site_fract_x
_atom_site_fract_y
_atom_site_fract_z
_atom_site_occupancy
Na1 Na 0.000 0.000 0.095 1
Mg1 Mg 0.000 0.500 0.250 1
Bi1 Bi 0.000 0.000 0.500 1
```

---

*b*
Na2Mg2Bi | PBE-GGA | relaxed

As for the density of states at the Fermi level: 3.025 states/eV/cell. For the magnetic moment, the calculation gives 0.00 μB/atom.

Structure (CIF):
```
data_Na2Mg2Bi
_chemical_formula_sum 'Na4 Mg4 Bi2'
_cell_length_a 7.660
_cell_length_b 7.660
_cell_length_c 5.254
_cell_angle_alpha 90.00
_cell_angle_beta 90.00
_cell_angle_gamma 90.00
_symmetry_space_group_name_H-M 'P 4/m b m'
_symmetry_Int_Tables_number 127
_symmetry_space_group_name_Hall '-P 4 2ab'
loop_
_atom_site_label
_atom_site_type_symbol
_atom_site_fract_x
_atom_site_fract_y
_atom_site_fract_z
_atom_site_occupancy
Na1 Na 0.170 0.330 0.000 1
Mg1 Mg 0.133 0.633 0.500 1
Bi1 Bi 0.000 0.000 0.500 1
```

---

Most stable to least stable, the ends of the list are *b* and *a*.

---

*a*
Na2MgBi | PBE-GGA | relaxed

As for the density of states at the Fermi level: 10.073 states/eV/cell. For the magnetic moment, the calculation gives 0.00 μB/atom.

Structure (CIF):
```
data_Na2MgBi
_chemical_formula_sum 'Na8 Mg4 Bi4'
_cell_length_a 9.158
_cell_length_b 9.158
_cell_length_c 6.126
_cell_angle_alpha 90.00
_cell_angle_beta 90.00
_cell_angle_gamma 90.00
_symmetry_space_group_name_H-M 'I -4 2 d'
_symmetry_Int_Tables_number 122
_symmetry_space_group_name_Hall 'I -4 2bw'
loop_
_atom_site_label
_atom_site_type_symbol
_atom_site_fract_x
_atom_site_fract_y
_atom_site_fract_z
_atom_site_occupancy
Na1 Na 0.227 0.750 0.125 1
Mg1 Mg 0.000 0.000 0.500 1
Bi1 Bi 0.000 0.000 0.000 1
```

---

*b*
Na2MgBi | PBE-GGA | relaxed

As for the density of states at the Fermi level: 1.549 states/eV/cell. For the magnetic moment, the calculation gives 0.00 μB/atom.

Structure (CIF):
```
data_Na2MgBi
_chemical_formula_sum 'Na2 Mg1 Bi1'
_cell_length_a 4.662
_cell_length_b 4.662
_cell_length_c 5.063
_cell_angle_alpha 90.00
_cell_angle_beta 90.00
_cell_angle_gamma 90.00
_symmetry_space_group_name_H-M 'P 4/m m m'
_symmetry_Int_Tables_number 123
_symmetry_space_group_name_Hall '-P 4 2'
loop_
_atom_site_label
_atom_site_type_symbol
_atom_site_fract_x
_atom_site_fract_y
_atom_site_fract_z
_atom_site_occupancy
Na1 Na 0.000 0.500 0.000 1
Mg1 Mg 0.000 0.000 0.500 1
Bi1 Bi 0.500 0.500 0.500 1
```

---

Most stable to least stable, the ends of the list are *b* and *a*.

---

*a*
NaMg2Bi2 | PBE-GGA | relaxed

As for the density of states at the Fermi level: 1.318 states/eV/cell. For the magnetic moment, the calculation gives 0.00 μB/atom.

Structure (CIF):
```
data_NaMg2Bi2
_chemical_formula_sum 'Na2 Mg4 Bi4'
_cell_length_a 6.848
_cell_length_b 6.943
_cell_length_c 7.196
_cell_angle_alpha 70.97
_cell_angle_beta 71.56
_cell_angle_gamma 76.01
_symmetry_space_group_name_H-M 'P -1'
_symmetry_Int_Tables_number 2
loop_
_symmetry_equiv_pos_as_xyz
'x,y,z'
'-x,-y,-z'
loop_
_atom_site_label
_atom_site_type_symbol
_atom_site_fract_x
_atom_site_fract_y
_atom_site_fract_z
_atom_site_occupancy
Na1 Na 0.040 0.475 0.246 1
Mg1 Mg 0.247 0.974 0.021 1
Mg2 Mg 0.470 0.747 0.523 1
Bi1 Bi 0.128 0.081 0.620 1
Bi2 Bi 0.420 0.368 0.874 1
```

---

*b*
NaMg2Bi2 | PBE-GGA | relaxed

As for the density of states at the Fermi level: 4.271 states/eV/cell. For the magnetic moment, the calculation gives 0.00 μB/atom.

Structure (CIF):
```
data_NaMg2Bi2
_chemical_formula_sum 'Na2 Mg4 Bi4'
_cell_length_a 4.648
_cell_length_b 4.648
_cell_length_c 14.398
_cell_angle_alpha 90.00
_cell_angle_beta 90.00
_cell_angle_gamma 90.00
_symmetry_space_group_name_H-M 'I 4/m m m'
_symmetry_Int_Tables_number 139
_symmetry_space_group_name_Hall '-I 4 2'
loop_
_atom_site_label
_atom_site_type_symbol
_atom_site_fract_x
_atom_site_fract_y
_atom_site_fract_z
_atom_site_occupancy
Na1 Na 0.000 0.000 0.000 1
Mg1 Mg 0.000 0.500 0.250 1
Bi1 Bi 0.000 0.000 0.381 1
```

---

*c*
NaMg2Bi2 | PBE-GGA | relaxed

As for the density of states at the Fermi level: 3.592 states/eV/cell. For the magnetic moment, the calculation gives 0.00 μB/atom.

Structure (CIF):
```
data_NaMg2Bi2
_chemical_formula_sum 'Na2 Mg4 Bi4'
_cell_length_a 8.875
_cell_length_b 8.875
_cell_length_c 3.626
_cell_angle_alpha 90.00
_cell_angle_beta 90.00
_cell_angle_gamma 90.00
_symmetry_space_group_name_H-M 'P 4/m b m'
_symmetry_Int_Tables_number 127
_symmetry_space_group_name_Hall '-P 4 2ab'
loop_
_atom_site_label
_atom_site_type_symbol
_atom_site_fract_x
_atom_site_fract_y
_atom_site_fract_z
_atom_site_occupancy
Na1 Na 0.000 0.000 0.000 1
Mg1 Mg 0.130 0.370 0.500 1
Bi1 Bi 0.166 0.666 0.000 1
```

---

Most stable to least stable, the ends of the list are *a* and *c*.

---

*a*
NaMg3Bi3 | PBE-GGA | relaxed

As for the density of states at the Fermi level: 18.550 states/eV/cell. For the magnetic moment, the calculation gives 0.00 μB/atom.

Structure (CIF):
```
data_NaMg3Bi3
_chemical_formula_sum 'Na2 Mg6 Bi6'
_cell_length_a 8.187
_cell_length_b 8.187
_cell_length_c 8.187
_cell_angle_alpha 90.00
_cell_angle_beta 90.00
_cell_angle_gamma 90.00
_symmetry_space_group_name_H-M 'P m -3 n'
_symmetry_Int_Tables_number 223
_symmetry_space_group_name_Hall '-P 4n 2 3'
loop_
_atom_site_label
_atom_site_type_symbol
_atom_site_fract_x
_atom_site_fract_y
_atom_site_fract_z
_atom_site_occupancy
Na1 Na 0.000 0.000 0.000 1
Mg1 Mg 0.000 0.250 0.500 1
Bi1 Bi 0.000 0.500 0.250 1
```

---

*b*
NaMg3Bi3 | PBE-GGA | relaxed

As for the density of states at the Fermi level: 26.228 states/eV/cell. For the magnetic moment, the calculation gives 0.00 μB/atom.

Structure (CIF):
```
data_NaMg3Bi3
_chemical_formula_sum 'Na6 Mg18 Bi18'
_cell_length_a 8.6332
_cell_length_b 8.6332
_cell_length_c 20.3386
_cell_angle_alpha 90.00
_cell_angle_beta 90.00
_cell_angle_gamma 120.00
_symmetry_space_group_name_H-M 'R -3'
_symmetry_Int_Tables_number 148
_symmetry_space_group_name_Hall '-R 3'
loop_
_atom_site_label
_atom_site_type_symbol
_atom_site_fract_x
_atom_site_fract_y
_atom_site_fract_z
_atom_site_occupancy
Na1 Na 0.0000 0.0000 0.1668 1
Mg1 Mg 0.0006 0.3395 0.3891 1
Bi1 Bi 0.0007 0.3239 0.5729 1
```

---

Most stable to least stable, the ends of the list are *b* and *a*.